<A>
CaAs2F | the Alexandria database | PBE | relaxed; crystal system = tetragonal; M_tot = 0.00 μB per cell
1.0
3.642 0.000 0.000
0.000 3.642 0.000
1.821 1.821 11.901
Ca As F
2 4 2
direct
0.000 0.000 0.000
0.750 0.250 0.500
0.124 0.625 0.250
0.875 0.876 0.750
0.626 0.125 0.250
0.375 0.374 0.750
0.500 0.500 0.000
0.250 0.750 0.500



<B>
CaAs2F | the Alexandria database | PBE | relaxed; crystal system = cubic; M_tot = 0.00 μB per cell
1.0
0.000 3.402 3.402
3.402 0.000 3.402
3.402 3.402 0.000
As F Ca
2 1 1
direct
0.250 0.250 0.250
0.750 0.750 0.750
0.000 0.000 0.000
0.500 0.500 0.500



We find <A> to be the most stable, with the next structure 938 meV per atom higher.



<A>
CaAsF2 | the Alexandria database | PBE | relaxed; crystal system = trigonal; M_tot = 0.00 μB per cell
1.0
0.102 8.059 2.755
3.287 7.228 3.082
2.135 8.244 0.153
F As Ca
2 1 1
direct
0.084 0.084 0.084
0.916 0.916 0.916
0.500 0.500 0.500
0.000 0.000 0.000



<B>
CaAsF2 | the Alexandria database | PBE | relaxed; crystal system = tetragonal; M_tot = 0.00 μB per cell
1.0
6.392 0.000 0.000
0.000 6.392 0.000
3.196 3.196 4.413
F Ca As
4 2 2
direct
0.875 0.762 0.750
0.238 0.625 0.250
0.512 0.125 0.250
0.375 0.488 0.750
0.500 0.500 0.000
0.250 0.750 0.500
0.750 0.250 0.500
0.000 0.000 0.000



<C>
CaAsF2 | the Alexandria database | PBE | relaxed; crystal system = cubic; M_tot = 2.91 μB per cell
1.0
0.000 3.221 3.221
3.221 0.000 3.221
3.221 3.221 0.000
As F Ca
1 2 1
direct
0.500 0.500 0.500
0.250 0.250 0.250
0.750 0.750 0.750
0.000 0.000 0.000



We find <B> to be the most stable, with the next structure 366 meV per atom higher.



<A>
CaAsN2F | the Alexandria database | PBE | relaxed; crystal system = tetragonal; M_tot = 2.00 μB per cell
1.0
-2.861 -0.934 3.584
-3.473 -0.895 -3.006
1.139 -3.984 -0.129
N F As Ca
2 1 1 1
direct
0.500 0.000 0.000
0.000 0.500 0.000
0.000 0.000 0.500
0.500 0.500 0.500
0.000 0.000 0.000



<B>
CaAsN2F | the Alexandria database | PBE | relaxed; crystal system = tetragonal; M_tot = 0.00 μB per cell
1.0
3.829 0.000 0.000
0.000 3.829 0.000
0.000 0.000 4.235
N Ca As F
2 1 1 1
direct
0.000 0.500 0.000
0.500 0.000 0.000
0.500 0.500 0.500
0.000 0.000 0.000
0.000 0.000 0.500



We find <B> to be the most stable, with the next structure 1137 meV per atom higher.



<A>
CaAsPb2F | the Alexandria database | PBE | relaxed; crystal system = tetragonal; M_tot = 0.00 μB per cell
1.0
-3.284 5.068 0.937
-3.449 -2.160 -0.404
-0.006 -1.115 6.009
Ca Pb As F
1 2 1 1
direct
0.000 0.000 0.000
0.000 0.000 0.500
0.500 0.000 0.000
0.500 0.500 0.500
0.000 0.500 0.000



<B>
CaAsPb2F | the Alexandria database | PBE | relaxed; crystal system = tetragonal; M_tot = 0.00 μB per cell
1.0
7.301 0.000 0.000
0.000 7.301 0.000
0.000 0.000 4.211
As Ca F Pb
1 1 1 2
direct
0.000 0.000 0.000
0.500 0.500 0.500
0.000 0.000 0.500
0.000 0.500 0.000
0.500 0.000 0.000



We find <A> to be the most stable, with the next structure 518 meV per atom higher.



<A>
CaAsSe2F | the Alexandria database | PBE | relaxed; crystal system = tetragonal; M_tot = 0.00 μB per cell
1.0
5.192 0.000 0.000
0.000 5.192 0.000
0.000 0.000 4.049
F Ca Se As
1 1 2 1
direct
0.000 0.000 0.000
0.500 0.500 0.500
0.000 0.500 0.000
0.500 0.000 0.000
0.000 0.000 0.500



<B>
CaAsSe2F | the Alexandria database | PBE | relaxed; crystal system = tetragonal; M_tot = 0.25 μB per cell
1.0
-0.159 0.518 5.306
-2.805 -4.522 0.358
4.768 -2.925 0.428
As F Se Ca
1 1 2 1
direct
0.000 0.000 0.500
0.500 0.500 0.500
0.500 0.000 0.000
0.000 0.500 0.000
0.000 0.000 0.000



We find <A> to be the most stable, with the next structure 855 meV per atom higher.



<A>
Ca2Fe2As | the Alexandria database | PBE | relaxed; crystal system = tetragonal; M_tot = 4.96 μB per cell
1.0
-3.110 -1.209 -4.598
-2.272 -4.448 2.707
-5.255 -0.790 0.252
Fe As Ca
2 1 2
direct
0.657 0.657 0.687
0.343 0.343 0.313
0.000 0.000 0.000
0.750 0.250 0.500
0.250 0.750 0.500



<B>
Ca2Fe2As | the Alexandria database | PBE | relaxed; crystal system = tetragonal; M_tot = 0.26 μB per cell
1.0
-1.296 3.643 -4.942
-1.542 -5.082 -3.342
-4.381 0.386 1.434
Ca As Fe
4 2 4
direct
0.677 0.823 0.500
0.323 0.177 0.500
0.177 0.677 0.500
0.823 0.323 0.500
0.000 0.000 0.000
0.500 0.500 0.000
0.125 0.375 0.000
0.375 0.875 0.000
0.625 0.125 0.000
0.875 0.625 0.000



We find <B> to be the most stable, with the next structure 181 meV per atom higher.